Compound: Mn11FeP12O48
Source: Alexandria via LeMat-Bulk
Functional: GGA+U
Structure: relaxed

abc: 4.9170 18.1213 9.8759
angles: 90.00 90.13 90.00
Last column: nearest neighbours and their distance in Å.
Atoms (fractional coordinates):
Mn 0.0000 0.0000 0.0000  4 O 1.90-2.02
Mn 0.0034 0.3331 0.0015  4 O 1.90-2.01
Mn 0.0034 0.6669 0.0015  4 O 1.90-2.01
Mn 0.1606 0.1671 0.4247  4 O 1.90-2.05
Mn 0.1606 0.8329 0.4247  4 O 1.90-2.05
Mn 0.1663 0.5000 0.4230  4 O 1.90-2.01
Mn 0.5005 0.1660 0.9234  4 O 1.91-2.02
Mn 0.5005 0.8340 0.9234  4 O 1.91-2.02
Mn 0.5032 0.5000 0.9228  4 O 1.91-2.01
Mn 0.6676 0.3325 0.5024  4 O 1.91-2.02
Mn 0.6676 0.6675 0.5024  4 O 1.91-2.02
Fe 0.6292 0.0000 0.4901  4 O 1.94-2.05
P 0.1736 0.0000 0.3090  4 O 1.52-1.58
P 0.1777 0.3331 0.3136  4 O 1.54-1.56
P 0.1777 0.6669 0.3136  4 O 1.54-1.56
P 0.4834 0.0000 0.8124  4 O 1.53-1.57
P 0.4911 0.3330 0.8134  4 O 1.54-1.56
P 0.4911 0.6670 0.8134  4 O 1.54-1.56
P 0.6747 0.1646 0.6113  4 O 1.54-1.57
P 0.6747 0.8354 0.6113  4 O 1.54-1.57
P 0.6776 0.5000 0.6114  4 O 1.54-1.56
P 0.9896 0.1665 0.1117  4 O 1.54-1.56
P 0.9896 0.8335 0.1117  4 O 1.54-1.56
P 0.9919 0.5000 0.1110  4 O 1.54-1.56
O 0.2271 0.3334 0.1596  1 P 1.54
O 0.2271 0.6666 0.1596  1 P 1.54
O 0.2329 0.0000 0.1561  1 P 1.54
O 0.2997 0.1665 0.0883  1 P 1.54
O 0.2997 0.8335 0.0883  1 P 1.54
O 0.3019 0.5000 0.0874  1 P 1.54
O 0.3234 0.2661 0.3824  1 P 1.56
O 0.3232 0.3997 0.3830  1 P 1.56
O 0.3232 0.6003 0.3830  1 P 1.56
O 0.3234 0.7339 0.3824  1 P 1.56
O 0.3257 0.0657 0.3815  1 P 1.58
O 0.3257 0.9343 0.3815  1 P 1.58
O 0.3393 0.0668 0.8826  1 P 1.57
O 0.3393 0.9332 0.8826  1 P 1.57
O 0.3452 0.2665 0.8827  1 P 1.56
O 0.3452 0.7335 0.8827  1 P 1.56
O 0.3460 0.3999 0.8818  1 P 1.56
O 0.3460 0.6001 0.8818  1 P 1.56
O 0.3635 0.1660 0.5884  1 P 1.55
O 0.3635 0.8340 0.5884  1 P 1.55
O 0.3671 0.5000 0.5880  1 P 1.54
O 0.4319 0.0000 0.6595  1 P 1.53
O 0.4417 0.3326 0.6591  1 P 1.54
O 0.4417 0.6674 0.6591  1 P 1.54
O 0.7247 0.1657 0.7654  1 P 1.54
O 0.7247 0.8343 0.7654  1 P 1.54
O 0.7278 0.5000 0.7655  1 P 1.54
O 0.7937 0.0000 0.8368  1 P 1.54
O 0.8015 0.3330 0.8368  1 P 1.54
O 0.8015 0.6670 0.8368  1 P 1.54
O 0.8141 0.0971 0.5425  1 P 1.56
O 0.8141 0.9029 0.5425  1 P 1.56
O 0.8210 0.2312 0.5411  1 P 1.57
O 0.8210 0.7688 0.5411  1 P 1.57
O 0.8226 0.4332 0.5423  1 P 1.56
O 0.8226 0.5668 0.5423  1 P 1.56
O 0.8428 0.1000 0.0425  1 P 1.56
O 0.8428 0.9000 0.0425  1 P 1.56
O 0.8444 0.2335 0.0433  1 P 1.56
O 0.8444 0.7665 0.0433  1 P 1.56
O 0.8459 0.4333 0.0419  1 P 1.56
O 0.8459 0.5667 0.0419  1 P 1.56
O 0.8683 0.0000 0.3334  1 P 1.52
O 0.8677 0.3327 0.3374  1 P 1.54
O 0.8677 0.6673 0.3374  1 P 1.54
O 0.9402 0.1657 0.2659  1 P 1.54
O 0.9402 0.8343 0.2659  1 P 1.54
O 0.9426 0.5000 0.2651  1 P 1.54

Results
The density of states at the Fermi level is 0.5 states/eV/cell. For the total DFT energy (no corrections), the calculation gives -532.477 eV per cell. Its mass density is 3.40 Mg/m³.